The following is a PBE calculation of SnIr3N after structural relaxation, from Alexandria.

The structure in CIF format:
```
data_SnIr3N
_cell_length_a 4.949
_cell_length_b 4.949
_cell_length_c 4.949
_cell_angle_alpha 90.00
_cell_angle_beta 90.00
_cell_angle_gamma 90.00
_symmetry_space_group_name_H-M 'P 1'
_symmetry_Int_Tables_number 1
loop_
_symmetry_equiv_pos_as_xyz
'x,y,z'
loop_
_atom_site_label
_atom_site_type_symbol
_atom_site_fract_x
_atom_site_fract_y
_atom_site_fract_z
Ir1 Ir 0.000 0.500 0.000
Ir2 Ir 0.000 0.000 0.500
Ir3 Ir 0.500 0.000 0.000
Sn1 Sn 0.000 0.000 0.000
N1 N 0.500 0.500 0.500
```

Magnetic moment = 1.055 μB/atom
Electronic total energy = -23.55 eV for the cell shown
Symmetry = Pm-3m
Offset from the most stable computed form = 2426 meV per atom
Density = 9716 kg/m3